Below is a PBEsol-optimized structure of Mg2PbCl, with properties calculated at the SCAN level.

It has space group Imm2 (No. 44), with a = 3.392 Å, b = 5.535 Å, c = 10.211 Å, α = 90.00°, β = 90.00° and γ = 90.00°. The distinct sites, in fractional coordinates, are Mg at (0.000, 0.000, 0.000), Mg at (0.000, 0.500, 0.244), Pb at (0.000, 0.500, 0.771) and Cl at (0.000, 0.000, 0.563).

The volume comes out at 23.96 A^3/atom. For the uncorrected formation energy, the calculation gives -1.94 eV/f.u. The total energy comes out at -191.296 eV/cell. The value obtained for the energy above the most stable polymorph in this dataset is 0.220 eV/atom.



Below is a PBEsol-optimized structure of MnReRh2, with properties calculated at the SCAN level.

It has space group I4/mmm (No. 139), with a = 3.751 Å, b = 3.751 Å, c = 7.500 Å, α = 90.00°, β = 90.00° and γ = 90.00°. The distinct sites, in fractional coordinates, are Mn at (0.000, 0.000, 0.000), Re at (0.000, 0.000, 0.500) and Rh at (0.000, 0.500, 0.250).

The volume comes out at 13.19 A^3/atom. The total energy comes out at -315.539 eV/cell. Its formation energy from the elements is -0.218 eV/atom. The value obtained for the energy above the most stable polymorph in this dataset is 0.026 eV/atom.



Below is a PBEsol-optimized structure of Tl2FeF2, with properties calculated at the SCAN level.

It has space group I4/mmm (No. 139), with a = 5.640 Å, b = 5.640 Å, c = 6.462 Å, α = 90.00°, β = 90.00° and γ = 90.00°. The distinct sites, in fractional coordinates, are Tl at (0.000, 0.500, 0.250), Fe at (0.000, 0.000, 0.000) and F at (0.000, 0.000, 0.279).

The volume comes out at 20.56 A^3/atom. For the uncorrected formation energy, the calculation gives -5.29 eV/f.u. The total energy comes out at -350.432 eV/cell.